This record from the Alexandria database describes a relaxed structure of Ca2TbAg3. The functional is GGA-PBE.

Lattice parameters (Å, degrees): 5.209 15.708 3.674 90.00 90.00 90.00
Space group Cmmm (No. 65)
Inequivalent atoms, fractional coordinates:
Ca 0.000 0.167 0.000 x4
Tb 0.000 0.500 0.000 x2
Ag 0.000 0.000 0.500 x2
Ag 0.000 0.342 0.500 x4

- Distance to the lowest polymorph of the same formula: 3 meV/atom

=====

This record from the Alexandria database describes a relaxed structure of CaTbAg4. The functional is GGA-PBE.

Lattice parameters (Å, degrees): 10.090 3.758 7.517 90.00 111.37 90.00
Space group C2/m (No. 12)
Inequivalent atoms, fractional coordinates:
Ca 0.000 0.000 0.000 x2
Tb 0.000 0.000 0.500 x2
Ag 0.172 0.500 0.340 x4
Ag 0.172 0.500 0.830 x4

- Distance to the lowest polymorph of the same formula: 0 meV/atom

=====

This record from the Alexandria database describes a relaxed structure of CaTb2Ag2. The functional is GGA-PBE.

Lattice parameters (Å, degrees): 3.666 20.708 3.625 90.00 90.00 90.00
Space group Cmmm (No. 65)
Inequivalent atoms, fractional coordinates:
Ca 0.000 0.000 0.000 x2
Tb 0.000 0.177 0.000 x4
Ag 0.000 0.403 0.500 x4

- Electronic total energy: -35.3 eV per cell

=====

This record from the Alexandria database describes a relaxed structure of CaTbAg4. The functional is GGA-PBE.

Lattice parameters (Å, degrees): 5.306 9.382 5.308 90.00 90.00 90.00
Space group Amm2 (No. 38)
Inequivalent atoms, fractional coordinates:
Ca 0.000 0.000 0.000 x2
Tb 0.500 0.000 0.499 x2
Ag 0.000 0.171 0.500 x4
Ag 0.500 0.172 0.999 x4

- Distance to the lowest polymorph of the same formula: 2 meV/atom

=====

This record from the Alexandria database describes a relaxed structure of CaTb2Ag4. The functional is GGA-PBE.

Lattice parameters (Å, degrees): 7.514 7.514 6.594 90.00 90.00 90.00
Space group I4/mmm (No. 139)
Inequivalent atoms, fractional coordinates:
Ca 0.000 0.000 0.000 x2
Tb 0.000 0.500 0.000 x4
Ag 0.250 0.250 0.250 x8

- Electronic total energy: -46.5 eV per cell

=====

This record from the Alexandria database describes a relaxed structure of Ca3Tb3AgTe8. The functional is GGA-PBE.

Lattice parameters (Å, degrees): 8.8285 8.8285 21.8789 90.00 90.00 120.00
Space group R-3m (No. 166, hexagonal axes)
Inequivalent atoms, fractional coordinates:
Ca 0.0000 0.5000 0.0000 x9
Tb 0.0000 0.5000 0.5000 x9
Ag 0.0000 0.0000 0.5000 x3
Te 0.0000 0.0000 0.2483 x6
Te 0.0040 0.5020 0.7529 x18

- ΔE_f (raw): -1.281 eV per atom

=====

This record from the Alexandria database describes a relaxed structure of CaTbAgTe3. The functional is GGA-PBE.

Lattice parameters (Å, degrees): 8.524 4.322 10.225 90.00 103.19 90.00
Space group P2_1/m (No. 11)
Inequivalent atoms, fractional coordinates:
Ca 0.206 0.250 0.273 x2
Tb 0.320 0.750 0.828 x2
Ag 0.084 0.250 0.586 x2
Te 0.072 0.250 0.858 x2
Te 0.277 0.750 0.519 x2
Te 0.415 0.750 0.147 x2

- ΔE_f (raw): -1.159 eV per atom

=====

This record from the Alexandria database describes a relaxed structure of CaTb2Tl2Ag2. The functional is GGA-PBE.

Lattice parameters (Å, degrees): 4.9281 4.9281 27.4145 90.00 90.00 120.00
Space group R-3m (No. 166, hexagonal axes)
Inequivalent atoms, fractional coordinates:
Ca 0.0000 0.0000 0.0000 x3
Tb 0.0000 0.0000 0.1258 x6
Tl 0.0000 0.0000 0.2551 x6
Ag 0.0000 0.0000 0.4050 x6

- Electronic total energy: -68.9 eV per cell